[1]
TcMo3W4: optimized geometry, GGA-PBE.

Structure (CIF):
```
data_TcMo3W4
_space_group_name_H-M_alt 'P 1'
_space_group_IT_number 1
_cell_length_a 3.1638
_cell_length_b 3.1638
_cell_length_c 12.6669
_cell_angle_alpha 90.00
_cell_angle_beta 90.00
_cell_angle_gamma 90.00
loop_
_space_group_symop_operation_xyz
'x,y,z'
loop_
_atom_site_label
_atom_site_type_symbol
_atom_site_fract_x
_atom_site_fract_y
_atom_site_fract_z
_atom_site_occupancy
Tc1 Tc 0.0000 0.0000 0.0000 1
Mo1 Mo 0.0000 0.0000 0.2483 1
Mo2 Mo 0.0000 0.0000 0.5000 1
Mo3 Mo 0.0000 0.0000 0.7517 1
W1 W 0.5000 0.5000 0.1255 1
W2 W 0.5000 0.5000 0.3745 1
W3 W 0.5000 0.5000 0.6255 1
W4 W 0.5000 0.5000 0.8745 1
```

***

[2]
# GGA-PBE TcMoW2, optimized geometry
# Relative energy among the computed polymorphs   291 meV/atom
data_TcMoW2
_space_group_name_H-M_alt 'P 1'
_space_group_IT_number 1
_cell_length_a 2.7873
_cell_length_b 3.9623
_cell_length_c 5.7528
_cell_angle_alpha 90.00
_cell_angle_beta 90.00
_cell_angle_gamma 90.00
loop_
_space_group_symop_operation_xyz
'x,y,z'
loop_
_atom_site_label
_atom_site_type_symbol
_atom_site_fract_x
_atom_site_fract_y
_atom_site_fract_z
_atom_site_occupancy
Tc1 Tc 0.0000 0.0000 0.0000 1
Mo1 Mo 0.5000 0.5000 0.7573 1
W1 W 0.0000 0.0000 0.5020 1
W2 W 0.5000 0.5000 0.2434 1

***

[3]
# GGA-PBE TcMoW2, optimized geometry
# Relative energy among the computed polymorphs   295 meV/atom
data_TcMoW2
_space_group_name_H-M_alt 'P 1'
_space_group_IT_number 1
_cell_length_a 2.8008
_cell_length_b 2.8008
_cell_length_c 28.0933
_cell_angle_alpha 90.00
_cell_angle_beta 90.00
_cell_angle_gamma 120.00
loop_
_space_group_symop_operation_xyz
'x,y,z'
loop_
_atom_site_label
_atom_site_type_symbol
_atom_site_fract_x
_atom_site_fract_y
_atom_site_fract_z
_atom_site_occupancy
Tc1 Tc 0.0000 0.0000 0.0000 1
Tc2 Tc 0.3333 0.6667 0.6667 1
Tc3 Tc 0.6667 0.3333 0.3333 1
Mo1 Mo 0.0000 0.0000 0.5000 1
Mo2 Mo 0.3333 0.6667 0.1667 1
Mo3 Mo 0.6667 0.3333 0.8333 1
W1 W 0.0000 0.0000 0.2534 1
W2 W 0.0000 0.0000 0.7466 1
W3 W 0.3333 0.6667 0.4133 1
W4 W 0.3333 0.6667 0.9200 1
W5 W 0.6667 0.3333 0.0800 1
W6 W 0.6667 0.3333 0.5867 1

***

[4]
Tc2Mo8W3: optimized geometry, GGA-PBE.

Structure (CIF):
```
data_Tc2Mo8W3
_space_group_name_H-M_alt 'P 1'
_space_group_IT_number 1
_cell_length_a 7.7268
_cell_length_b 7.7268
_cell_length_c 4.5600
_cell_angle_alpha 90.00
_cell_angle_beta 90.00
_cell_angle_gamma 125.30
loop_
_space_group_symop_operation_xyz
'x,y,z'
loop_
_atom_site_label
_atom_site_type_symbol
_atom_site_fract_x
_atom_site_fract_y
_atom_site_fract_z
_atom_site_occupancy
Tc1 Tc 0.2193 0.7807 0.0000 1
Tc2 Tc 0.7807 0.2193 0.0000 1
Mo1 Mo 0.1233 0.8767 0.5000 1
Mo2 Mo 0.1786 0.4088 0.0000 1
Mo3 Mo 0.3311 0.6689 0.5000 1
Mo4 Mo 0.4088 0.1786 0.0000 1
Mo5 Mo 0.5912 0.8214 0.0000 1
Mo6 Mo 0.6689 0.3311 0.5000 1
Mo7 Mo 0.8214 0.5912 0.0000 1
Mo8 Mo 0.8767 0.1233 0.5000 1
W1 W 0.0000 0.0000 0.0000 1
W2 W 0.2956 0.2956 0.5000 1
W3 W 0.7044 0.7044 0.5000 1
```

***

[5]
# GGA-PBE TcMoW2, optimized geometry
# Relative energy among the computed polymorphs   28 meV/atom
data_TcMoW2
_space_group_name_H-M_alt 'P 1'
_space_group_IT_number 1
_cell_length_a 2.7482
_cell_length_b 4.4401
_cell_length_c 5.2310
_cell_angle_alpha 90.00
_cell_angle_beta 99.98
_cell_angle_gamma 90.00
loop_
_space_group_symop_operation_xyz
'x,y,z'
loop_
_atom_site_label
_atom_site_type_symbol
_atom_site_fract_x
_atom_site_fract_y
_atom_site_fract_z
_atom_site_occupancy
Tc1 Tc 0.0000 0.0000 0.0000 1
Mo1 Mo 0.5000 0.0000 0.5000 1
W1 W 0.2559 0.5000 0.7503 1
W2 W 0.7441 0.5000 0.2497 1

***

[6]
# GGA-PBE TcMoW, optimized geometry
# Relative energy among the computed polymorphs   19 meV/atom
data_TcMoW
_space_group_name_H-M_alt 'P 1'
_space_group_IT_number 1
_cell_length_a 4.4249
_cell_length_b 4.4249
_cell_length_c 2.7598
_cell_angle_alpha 90.00
_cell_angle_beta 90.00
_cell_angle_gamma 120.00
loop_
_space_group_symop_operation_xyz
'x,y,z'
loop_
_atom_site_label
_atom_site_type_symbol
_atom_site_fract_x
_atom_site_fract_y
_atom_site_fract_z
_atom_site_occupancy
Tc1 Tc 0.0000 0.0000 0.0000 1
Mo1 Mo 0.3333 0.6667 0.6385 1
W1 W 0.6667 0.3333 0.3225 1

***

[7]
# GGA-PBE TcMoW2, optimized geometry
# Relative energy among the computed polymorphs   7 meV/atom
data_TcMoW2
_space_group_name_H-M_alt 'P 1'
_space_group_IT_number 1
_cell_length_a 3.1546
_cell_length_b 4.4525
_cell_length_c 8.9535
_cell_angle_alpha 90.00
_cell_angle_beta 90.00
_cell_angle_gamma 90.00
loop_
_space_group_symop_operation_xyz
'x,y,z'
loop_
_atom_site_label
_atom_site_type_symbol
_atom_site_fract_x
_atom_site_fract_y
_atom_site_fract_z
_atom_site_occupancy
Tc1 Tc 0.0000 0.0000 0.0000 1
Tc2 Tc 0.5000 0.5000 0.5000 1
Mo1 Mo 0.0000 0.5000 0.7561 1
Mo2 Mo 0.5000 0.0000 0.2561 1
W1 W 0.0000 0.0000 0.5025 1
W2 W 0.0000 0.5000 0.2479 1
W3 W 0.5000 0.0000 0.7479 1
W4 W 0.5000 0.5000 0.0025 1

***

[8]
# GGA-PBE TcMoW2, optimized geometry
# Relative energy among the computed polymorphs   283 meV/atom
data_TcMoW2
_space_group_name_H-M_alt 'P 1'
_space_group_IT_number 1
_cell_length_a 2.7952
_cell_length_b 2.7952
_cell_length_c 28.1660
_cell_angle_alpha 90.00
_cell_angle_beta 90.00
_cell_angle_gamma 120.00
loop_
_space_group_symop_operation_xyz
'x,y,z'
loop_
_atom_site_label
_atom_site_type_symbol
_atom_site_fract_x
_atom_site_fract_y
_atom_site_fract_z
_atom_site_occupancy
Tc1 Tc 0.0000 0.0000 0.0000 1
Tc2 Tc 0.3333 0.6667 0.6667 1
Tc3 Tc 0.6667 0.3333 0.3333 1
Mo1 Mo 0.0000 0.0000 0.2546 1
Mo2 Mo 0.3333 0.6667 0.9213 1
Mo3 Mo 0.6667 0.3333 0.5879 1
W1 W 0.0000 0.0000 0.5010 1
W2 W 0.0000 0.0000 0.7471 1
W3 W 0.3333 0.6667 0.1677 1
W4 W 0.3333 0.6667 0.4138 1
W5 W 0.6667 0.3333 0.0805 1
W6 W 0.6667 0.3333 0.8344 1

***

[9]
# GGA-PBE TcMoW2, optimized geometry
# Relative energy among the computed polymorphs   887 meV/atom
data_TcMoW2
_space_group_name_H-M_alt 'P 1'
_space_group_IT_number 1
_cell_length_a 7.1845
_cell_length_b 7.1845
_cell_length_c 5.2719
_cell_angle_alpha 90.00
_cell_angle_beta 90.00
_cell_angle_gamma 90.00
loop_
_space_group_symop_operation_xyz
'x,y,z'
loop_
_atom_site_label
_atom_site_type_symbol
_atom_site_fract_x
_atom_site_fract_y
_atom_site_fract_z
_atom_site_occupancy
Tc1 Tc 0.0000 0.0000 0.0000 1
Tc2 Tc 0.0000 0.5000 0.2500 1
Tc3 Tc 0.5000 0.0000 0.7500 1
Tc4 Tc 0.5000 0.5000 0.5000 1
Mo1 Mo 0.0000 0.0000 0.5000 1
Mo2 Mo 0.0000 0.5000 0.7500 1
Mo3 Mo 0.5000 0.0000 0.2500 1
Mo4 Mo 0.5000 0.5000 0.0000 1
W1 W 0.2414 0.2500 0.1250 1
W2 W 0.2500 0.7414 0.3750 1
W3 W 0.2500 0.7586 0.8750 1
W4 W 0.2586 0.2500 0.6250 1
W5 W 0.7414 0.7500 0.6250 1
W6 W 0.7500 0.2414 0.8750 1
W7 W 0.7500 0.2586 0.3750 1
W8 W 0.7586 0.7500 0.1250 1

***

[10]
TcMo8W6: optimized geometry, GGA-PBE.

Structure (CIF):
```
data_TcMo8W6
_space_group_name_H-M_alt 'P 1'
_space_group_IT_number 1
_cell_length_a 10.0627
_cell_length_b 10.0627
_cell_length_c 2.9172
_cell_angle_alpha 90.00
_cell_angle_beta 90.00
_cell_angle_gamma 120.00
loop_
_space_group_symop_operation_xyz
'x,y,z'
loop_
_atom_site_label
_atom_site_type_symbol
_atom_site_fract_x
_atom_site_fract_y
_atom_site_fract_z
_atom_site_occupancy
Tc1 Tc 0.0000 0.0000 0.0000 1
Mo1 Mo 0.0820 0.2827 0.6422 1
Mo2 Mo 0.2007 0.9180 0.6422 1
Mo3 Mo 0.2827 0.2007 0.3578 1
Mo4 Mo 0.3333 0.6667 0.3552 1
Mo5 Mo 0.6667 0.3333 0.6448 1
Mo6 Mo 0.7173 0.7993 0.6422 1
Mo7 Mo 0.7993 0.0820 0.3578 1
Mo8 Mo 0.9180 0.7173 0.3578 1
W1 W 0.1007 0.6332 0.8552 1
W2 W 0.3668 0.4675 0.8552 1
W3 W 0.4675 0.1007 0.1448 1
W4 W 0.5325 0.8993 0.8552 1
W5 W 0.6332 0.5325 0.1448 1
W6 W 0.8993 0.3668 0.1448 1
```

***

[11]
Tc2MoW2: optimized geometry, GGA-PBE.

Structure (CIF):
```
data_Tc2MoW2
_space_group_name_H-M_alt 'P 1'
_space_group_IT_number 1
_cell_length_a 6.8977
_cell_length_b 6.8977
_cell_length_c 5.5264
_cell_angle_alpha 93.44
_cell_angle_beta 93.44
_cell_angle_gamma 138.00
loop_
_space_group_symop_operation_xyz
'x,y,z'
loop_
_atom_site_label
_atom_site_type_symbol
_atom_site_fract_x
_atom_site_fract_y
_atom_site_fract_z
_atom_site_occupancy
Tc1 Tc 0.1626 0.8308 0.7249 1
Tc2 Tc 0.1692 0.8374 0.2751 1
Tc3 Tc 0.8308 0.1626 0.7249 1
Tc4 Tc 0.8374 0.1692 0.2751 1
Mo1 Mo 0.3266 0.6734 0.0000 1
Mo2 Mo 0.6734 0.3266 0.0000 1
W1 W 0.2501 0.2501 0.1287 1
W2 W 0.2643 0.2643 0.6235 1
W3 W 0.7357 0.7357 0.3765 1
W4 W 0.7499 0.7499 0.8713 1
```

***

[12]
TcMo5W6: optimized geometry, GGA-PBE.

Structure (CIF):
```
data_TcMo5W6
_space_group_name_H-M_alt 'P 1'
_space_group_IT_number 1
_cell_length_a 7.7415
_cell_length_b 7.7415
_cell_length_c 7.7415
_cell_angle_alpha 146.32
_cell_angle_beta 131.58
_cell_angle_gamma 60.27
loop_
_space_group_symop_operation_xyz
'x,y,z'
loop_
_atom_site_label
_atom_site_type_symbol
_atom_site_fract_x
_atom_site_fract_y
_atom_site_fract_z
_atom_site_occupancy
Tc1 Tc 0.0000 0.0000 0.0000 1
Mo1 Mo 0.1654 0.6654 0.5000 1
Mo2 Mo 0.3330 0.3330 0.0000 1
Mo3 Mo 0.5000 0.0000 0.5000 1
Mo4 Mo 0.6670 0.6670 0.0000 1
Mo5 Mo 0.8346 0.3346 0.5000 1
W1 W 0.0838 0.8333 0.2505 1
W2 W 0.2507 0.5000 0.7507 1
W3 W 0.4171 0.1667 0.2505 1
W4 W 0.5829 0.8333 0.7495 1
W5 W 0.7493 0.5000 0.2493 1
W6 W 0.9162 0.1667 0.7495 1
```

***

Energy of formation across the listed records, respectively: 0.0003 0.3092 0.3140 0.5211 0.0468 0.0748 0.0258 0.3013 0.9057 0.6057 0.5645 -0.0065 eV per atom.
V across the listed records, respectively: 126.8 63.5 190.8 222.2 62.9 46.8 125.8 190.6 272.1 255.8 173.5 190.6 Å³ per cell.